TbPmSiS: optimized geometry, GGA-PBE.

Cell: 4.0824 4.0824 7.1599 Å, 73.44 73.44 60.00°
Positions (direct):
1 Tb 0.1940 0.1940 0.4180
2 Pm 0.6939 0.6939 0.9184
3 Si 0.9422 0.9422 0.1735
4 S 0.4464 0.4464 0.6608

Crystal system   trigonal
ΔE_f (raw)   -1367 meV/atom
Electronic total energy   -6.099 eV per atom


Pm6SiTe3S2: optimized geometry, GGA-PBE.

Cell: 4.2318 8.7066 9.7001 Å, 105.48 102.60 90.00°
Positions (direct):
1 Pm 0.3416 0.8966 0.6832
2 Pm 0.6757 0.5607 0.3513
3 Pm 0.6584 0.1034 0.3168
4 Pm 0.0075 0.2322 0.0150
5 Pm 0.9925 0.7678 0.9850
6 Pm 0.3243 0.4393 0.6487
7 Si 0.5000 0.0000 0.0000
8 Te 0.5000 0.5000 0.0000
9 Te 0.8330 0.1689 0.6659
10 Te 0.1670 0.8311 0.3341
11 S 0.8328 0.6668 0.6657
12 S 0.1672 0.3332 0.3343

Crystal system   monoclinic
ΔE_f (raw)   -1550 meV/atom
Electronic total energy   -5.850 eV per atom


Question: Which value of ΔE_f (raw) does entry 2 give?
Answer: -1550 meV/atom